1.
Density functional theory data (GGA-PBE) for a geometry-optimized YAu2SN structure.

## Properties
**Total magnetic moment**: 0.00 μB per formula unit
**VASP energy**: -0.37578 Ry/atom
**Density of states at the Fermi level**: 0.3421 states/eV/atom

a b c (Å): 4.043 4.043 6.438
angles (deg): 90.00 90.00 90.00
Fractional positions:
Au (0.000, 0.500, 0.000)
Y (0.500, 0.500, 0.500)
N (0.000, 0.000, 0.000)
Au (0.500, 0.000, 0.000)
S (0.000, 0.000, 0.500)



2.
Density functional theory data (GGA-PBE) for a geometry-optimized Cs3UAg2S6 structure.

## Properties
**Total magnetic moment**: 0.00 μB per formula unit
**VASP energy**: -0.33551 Ry/atom
**Density of states at the Fermi level**: 0.7153 states/eV/atom

a b c (Å): 7.667 7.667 8.929
angles (deg): 90.00 90.00 120.00
Fractional positions:
S (0.696, 0.848, 0.323)
S (0.304, 0.152, 0.677)
Cs (0.667, 0.333, 0.309)
S (0.848, 0.696, 0.677)
Ag (0.667, 0.333, 0.694)
S (0.848, 0.152, 0.677)
U (0.000, 0.000, 0.500)
Cs (0.333, 0.667, 0.691)
S (0.152, 0.304, 0.323)
Ag (0.333, 0.667, 0.306)
Cs (0.000, 0.000, 0.000)
S (0.152, 0.848, 0.323)



3.
Density functional theory data (GGA-PBE) for a geometry-optimized K6GaSn2 structure.

## Properties
**Total magnetic moment**: 0.00 μB per formula unit
**VASP energy**: -0.15422 Ry/atom
**Density of states at the Fermi level**: 0.2789 states/eV/atom
**Energy relative to the elements**: -0.141 eV per atom

a b c (Å): 6.294 6.294 11.763
angles (deg): 74.48 74.48 60.00
Fractional positions:
K (0.696, 0.696, 0.911)
K (0.304, 0.304, 0.089)
K (0.189, 0.189, 0.432)
K (0.575, 0.575, 0.274)
Sn (0.921, 0.921, 0.236)
Ga (0.000, 0.000, 0.000)
K (0.811, 0.811, 0.568)
Sn (0.079, 0.079, 0.764)
K (0.425, 0.425, 0.726)



4.
Density functional theory data (GGA-PBE) for a geometry-optimized InNiSN2 structure.

## Properties
**Total magnetic moment**: 2.93 μB per formula unit
**VASP energy**: -0.35912 Ry/atom
**Density of states at the Fermi level**: 0.5568 states/eV/atom
**Relative energy among the computed polymorphs**: 0 meV/atom

a b c (Å): 3.767 3.767 4.970
angles (deg): 90.00 90.00 90.00
Site moments in Bohr magnetons follow the coordinates.
Fractional positions:
Ni (0.000, 0.000, 0.000)  0.60
S (0.000, 0.000, 0.500)  0.10
In (0.500, 0.500, 0.500)  -0.02
N (0.500, 0.000, 0.000)  0.80
N (0.000, 0.500, 0.000)  0.80



5.
Density functional theory data (GGA-PBE) for a geometry-optimized MnCd2Se structure.

## Properties
**Total magnetic moment**: 4.40 μB per formula unit
**VASP energy**: -0.25816 Ry/atom
**Density of states at the Fermi level**: 0.3107 states/eV/atom

a b c (Å): 5.018 5.018 3.769
angles (deg): 90.00 90.00 114.60
Site moments in Bohr magnetons follow the coordinates.
Fractional positions:
Mn (0.500, 0.000, 0.500)  4.03
Cd (0.500, 0.500, 0.000)  0.00
Cd (0.000, 0.000, 0.000)  0.00
Se (0.000, 0.500, 0.500)  0.05



6.
Density functional theory data (GGA-PBE) for a geometry-optimized CuSb3Pd structure.

## Properties
**Total magnetic moment**: 0.00 μB per formula unit
**VASP energy**: -0.27766 Ry/atom
**Density of states at the Fermi level**: 0.6451 states/eV/atom
**Relative energy among the computed polymorphs**: 0 meV/atom

a b c (Å): 5.018 5.018 5.018
angles (deg): 90.00 90.00 90.00
Fractional positions:
Sb (0.000, 0.500, 0.000)
Cu (0.000, 0.000, 0.000)
Sb (0.500, 0.000, 0.000)
Pd (0.500, 0.500, 0.500)
Sb (0.000, 0.000, 0.500)



7.
Density functional theory data (GGA-PBE) for a geometry-optimized KCrSi2 structure.

## Properties
**Total magnetic moment**: 1.60 μB per formula unit
**VASP energy**: -0.38479 Ry/atom
**Density of states at the Fermi level**: 0.6798 states/eV/atom
**Relative energy among the computed polymorphs**: 2 meV/atom

a b c (Å): 3.109 3.109 7.686
angles (deg): 90.00 90.00 90.00
Site moments in Bohr magnetons follow the coordinates.
Fractional positions:
Cr (0.500, 0.500, 0.250)  1.42
K (0.500, 0.500, 0.750)  0.01
Si (0.000, 0.000, 0.412)  -0.02
Si (0.000, 0.000, 0.088)  -0.02



8.
Density functional theory data (GGA-PBE) for a geometry-optimized BaAgIr2 structure.

## Properties
**Total magnetic moment**: 0.00 μB per formula unit
**VASP energy**: -0.35805 Ry/atom
**Density of states at the Fermi level**: 1.6884 states/eV/atom
**Energy relative to the elements**: 0.752 eV per atom
**Relative energy among the computed polymorphs**: 764 meV/atom

a b c (Å): 5.470 5.470 5.470
angles (deg): 134.19 134.19 66.79
Fractional positions:
Ir (0.000, 0.000, 0.000)
Ba (0.750, 0.250, 0.500)
Ir (0.500, 0.500, 0.000)
Ag (0.250, 0.750, 0.500)



9.
Density functional theory data (GGA-PBE) for a geometry-optimized SrSc2H structure.

## Properties
**Total magnetic moment**: 0.89 μB per formula unit
**VASP energy**: -0.32855 Ry/atom
**Density of states at the Fermi level**: 1.5984 states/eV/atom
**Relative energy among the computed polymorphs**: 0 meV/atom

a b c (Å): 6.626 6.626 6.628
angles (deg): 60.01 60.01 90.00
Site moments in Bohr magnetons follow the coordinates.
Fractional positions:
H (0.250, 0.750, 0.500)  0.00
H (0.500, 0.500, 0.000)  0.00
Sc (0.875, 0.625, 0.750)  0.23
Sc (0.375, 0.625, 0.750)  0.20
Sc (0.375, 0.625, 0.250)  0.20
Sr (0.750, 0.250, 0.500)  0.03
Sc (0.375, 0.125, 0.250)  0.18
Sr (0.000, 0.000, 0.000)  0.03



10.
Density functional theory data (GGA-PBE) for a geometry-optimized ZrP2Br structure.

## Properties
**Total magnetic moment**: 0.00 μB per formula unit
**VASP energy**: -0.36377 Ry/atom
**Density of states at the Fermi level**: 1.9824 states/eV/atom
**Relative energy among the computed polymorphs**: 1034 meV/atom

a b c (Å): 4.748 4.748 4.748
angles (deg): 60.00 60.00 60.00
Fractional positions:
Br (0.000, 0.000, 0.000)
P (0.750, 0.750, 0.750)
P (0.250, 0.250, 0.250)
Zr (0.500, 0.500, 0.500)



11.
Density functional theory data (GGA-PBE) for a geometry-optimized LiPr6Y structure.

## Properties
**Total magnetic moment**: 0.00 μB per formula unit
**VASP energy**: -0.33427 Ry/atom
**Density of states at the Fermi level**: 1.5199 states/eV/atom
**Energy relative to the elements**: 0.084 eV per atom

a b c (Å): 10.723 10.723 10.723
angles (deg): 151.92 151.92 40.13
Fractional positions:
Y (0.500, 0.500, 0.000)
Pr (0.252, 0.252, 0.000)
Pr (0.748, 0.748, 0.000)
Pr (0.121, 0.621, 0.500)
Pr (0.879, 0.379, 0.500)
Pr (0.621, 0.121, 0.500)
Pr (0.379, 0.879, 0.500)
Li (0.000, 0.000, 0.000)



12.
Density functional theory data (GGA-PBE) for a geometry-optimized RbSc2Bi structure.

## Properties
**Total magnetic moment**: 0.00 μB per formula unit
**VASP energy**: -0.30724 Ry/atom
**Density of states at the Fermi level**: 1.4827 states/eV/atom
**Energy relative to the elements**: 0.198 eV per atom

a b c (Å): 11.377 11.377 11.377
angles (deg): 20.10 20.10 20.10
Fractional positions:
Rb (0.000, 0.000, 0.000)
Sc (0.112, 0.112, 0.112)
Bi (0.500, 0.500, 0.500)
Sc (0.888, 0.888, 0.888)



13.
Density functional theory data (GGA-PBE) for a geometry-optimized Tb3PrDy6Th2 structure.

## Properties
**Total magnetic moment**: 0.00 μB per formula unit
**VASP energy**: -0.37207 Ry/atom
**Density of states at the Fermi level**: 1.3759 states/eV/atom
**Energy relative to the elements**: 0.031 eV per atom

a b c (Å): 6.195 6.195 11.763
angles (deg): 95.05 95.05 119.96
Fractional positions:
Dy (0.422, 0.084, 0.249)
Dy (0.745, 0.745, 0.249)
Tb (0.500, 0.500, 0.500)
Pr (0.000, 0.000, 0.000)
Tb (0.834, 0.166, 0.500)
Dy (0.084, 0.422, 0.249)
Th (0.667, 0.333, 0.000)
Dy (0.916, 0.578, 0.751)
Dy (0.255, 0.255, 0.751)
Th (0.333, 0.667, 0.000)
Tb (0.166, 0.834, 0.500)
Dy (0.578, 0.916, 0.751)



14.
Density functional theory data (GGA-PBE) for a geometry-optimized Tb2SmThBi5 structure.

## Properties
**Total magnetic moment**: 0.00 μB per formula unit
**VASP energy**: -0.32005 Ry/atom
**Density of states at the Fermi level**: 0.7455 states/eV/atom
**Energy relative to the elements**: 0.179 eV per atom

a b c (Å): 5.715 5.715 12.039
angles (deg): 90.00 90.00 90.00
Fractional positions:
Tb (0.500, 0.500, 0.266)
Tb (0.500, 0.500, 0.734)
Bi (0.500, 0.000, 0.500)
Bi (0.500, 0.500, 0.000)
Sm (0.000, 0.000, 0.000)
Th (0.000, 0.000, 0.500)
Bi (0.000, 0.000, 0.244)
Bi (0.000, 0.500, 0.500)
Bi (0.000, 0.000, 0.756)



15.
Density functional theory data (GGA-PBE) for a geometry-optimized Pr6NdDyEr2 structure.

## Properties
**Total magnetic moment**: 0.00 μB per formula unit
**VASP energy**: -0.33844 Ry/atom
**Density of states at the Fermi level**: 1.4661 states/eV/atom
**Energy relative to the elements**: 0.113 eV per atom

a b c (Å): 9.748 8.991 8.991
angles (deg): 117.04 93.87 93.87
Fractional positions:
Er (0.049, 0.297, 0.201)
Pr (0.382, 0.513, 0.296)
Pr (0.055, 0.112, 0.760)
Pr (0.618, 0.487, 0.704)
Dy (0.750, 0.590, 0.410)
Pr (0.945, 0.888, 0.240)
Pr (0.814, 0.439, 0.993)
Pr (0.186, 0.561, 0.007)
Er (0.549, 0.201, 0.297)
Pr (0.555, 0.760, 0.112)
Dy (0.250, 0.410, 0.590)
Pr (0.686, 0.007, 0.561)
Pr (0.882, 0.296, 0.513)
Er (0.451, 0.799, 0.703)
Nd (0.250, 0.971, 0.029)
Pr (0.118, 0.704, 0.487)
Er (0.951, 0.703, 0.799)
Pr (0.314, 0.993, 0.439)
Pr (0.445, 0.240, 0.888)
Nd (0.750, 0.029, 0.971)



16.
Density functional theory data (GGA-PBE) for a geometry-optimized BaNp2NbS8 structure.

## Properties
**Total magnetic moment**: 5.00 μB per formula unit
**VASP energy**: -0.51319 Ry/atom
**Density of states at the Fermi level**: 1.5269 states/eV/atom

a b c (Å): 6.380 5.989 8.292
angles (deg): 89.96 89.98 88.83
Site moments in Bohr magnetons follow the coordinates.
Fractional positions:
S (0.599, 0.733, 0.500)  -0.14
S (0.401, 0.267, 0.500)  -0.14
S (0.834, 0.243, 0.802)  -0.11
S (0.324, 0.268, 0.000)  -0.15
S (0.676, 0.732, 0.000)  -0.15
Ba (0.000, 0.000, 0.500)  -0.01
S (0.833, 0.242, 0.198)  -0.11
Np (0.500, 0.500, 0.756)  2.97
Nb (0.000, 0.000, 0.000)  0.29
S (0.167, 0.758, 0.802)  -0.11
S (0.166, 0.757, 0.198)  -0.11
Np (0.500, 0.500, 0.244)  2.97



17.
Density functional theory data (GGA-PBE) for a geometry-optimized Ba2Ca2Sb structure.

## Properties
**Total magnetic moment**: 0.00 μB per formula unit
**VASP energy**: -0.18964 Ry/atom
**Density of states at the Fermi level**: 1.4642 states/eV/atom
**Relative energy among the computed polymorphs**: 118 meV/atom

a b c (Å): 4.654 4.654 11.480
angles (deg): 78.30 78.30 90.00
Fractional positions:
Ca (0.750, 0.250, 0.500)
Ba (0.420, 0.420, 0.160)
Ca (0.250, 0.750, 0.500)
Sb (0.000, 0.000, 0.000)
Ba (0.580, 0.580, 0.840)



18.
Density functional theory data (GGA-PBE) for a geometry-optimized SrMgTa2Pb structure.

## Properties
**Total magnetic moment**: 1.90 μB per formula unit
**VASP energy**: -0.34465 Ry/atom
**Density of states at the Fermi level**: 1.4592 states/eV/atom
**Energy relative to the elements**: 1.449 eV per atom

a b c (Å): 5.374 5.283 5.374
angles (deg): 90.00 90.00 90.00
Site moments in Bohr magnetons follow the coordinates.
Fractional positions:
Sr (0.500, 0.500, 0.500)  0.04
Mg (0.000, 0.500, 0.000)  -0.01
Ta (0.000, 0.000, 0.500)  0.61
Pb (0.000, 0.000, 0.000)  0.00
Ta (0.500, 0.000, 0.000)  0.51



19.
Density functional theory data (GGA-PBE) for a geometry-optimized Pm2Pr3SmSe6 structure.

## Properties
**Total magnetic moment**: 0.00 μB per formula unit
**VASP energy**: -0.43820 Ry/atom
**Density of states at the Fermi level**: 0.4782 states/eV/atom

a b c (Å): 7.320 7.320 7.343
angles (deg): 99.54 99.54 120.26
Fractional positions:
Pm (0.333, 0.667, 0.000)
Pr (0.832, 0.168, 0.500)
Se (0.413, 0.081, 0.243)
Pr (0.500, 0.500, 0.500)
Pm (0.667, 0.333, 0.000)
Se (0.251, 0.251, 0.756)
Sm (0.000, 0.000, 0.000)
Se (0.749, 0.749, 0.244)
Se (0.081, 0.413, 0.243)
Pr (0.168, 0.832, 0.500)
Se (0.919, 0.587, 0.757)
Se (0.587, 0.919, 0.757)